DFT (GGA-PBE) results for a relaxed structure of CaSc2V.

As for the formation energy from the elements: 0.437 eV/atom.

The structure belongs to space group R-3m (No. 166, hexagonal axes); the cell edges are 3.2737, 3.2737 and 32.2050 Å and the angles 90.00°, 90.00° and 120.00°. The asymmetric unit holds Ca at (0.0000, 0.0000, 0.0000), Sc at (0.0000, 0.0000, 0.1012) and V at (0.0000, 0.0000, 0.5000).